w.
Compound: ZrBMo
Source: Alexandria
Functional: PBE-GGA
Structure: relaxed

a = 5.827 Å, b = 5.827 Å, c = 5.827 Å
α = 146.39°, β = 125.14°, γ = 65.89°
Sites, in units of the cell vectors:
Zr1 0.209 0.209 0.000
Zr2 0.791 0.791 0.000
B1 0.409 0.909 0.500
B2 0.591 0.091 0.500
Mo1 0.249 0.500 0.749
Mo2 0.751 0.500 0.251

Summary:
Crystal system ... orthorhombic
Space-group type ... Immm, No. 71


x.
Compound: ZrBMo
Source: Alexandria
Functional: PBE-GGA
Structure: relaxed

a = 5.073 Å, b = 5.073 Å, c = 6.539 Å
α = 122.77°, β = 122.77°, γ = 38.76°
Sites, in units of the cell vectors:
Zr1 0.085 0.085 0.334
Zr2 0.915 0.915 0.666
B1 0.389 0.389 0.354
B2 0.611 0.611 0.646
Mo1 0.305 0.305 0.913
Mo2 0.695 0.695 0.087

Summary:
Crystal system ... monoclinic
Space-group type ... C2/m, No. 12


Most stable structure - x; separation to the second - 129 meV per atom.


w.
Compound: ZrBMo
Source: Alexandria
Functional: PBE-GGA
Structure: relaxed

a = 3.585 Å, b = 3.585 Å, c = 6.897 Å
α = 90.00°, β = 90.00°, γ = 90.00°
Sites, in units of the cell vectors:
Zr1 0.250 0.250 0.138
Zr2 0.750 0.750 0.862
B1 0.250 0.250 0.746
B2 0.750 0.750 0.254
Mo1 0.250 0.750 0.500
Mo2 0.750 0.250 0.500

Summary:
Crystal system ... tetragonal
Space-group type ... P4/nmm, No. 129


x.
Compound: ZrBMo
Source: Alexandria
Functional: PBE-GGA
Structure: relaxed

a = 4.795 Å, b = 3.220 Å, c = 5.886 Å
α = 90.00°, β = 103.08°, γ = 90.00°
Sites, in units of the cell vectors:
Zr1 0.060 0.250 0.265
Zr2 0.940 0.750 0.735
B1 0.407 0.750 0.532
B2 0.593 0.250 0.468
Mo1 0.453 0.250 0.815
Mo2 0.547 0.750 0.185

Summary:
Crystal system ... monoclinic
Space-group type ... P2_1/m, No. 11


y.
Compound: ZrBMo
Source: Alexandria
Functional: PBE-GGA
Structure: relaxed

a = 3.177 Å, b = 4.557 Å, c = 6.282 Å
α = 79.42°, β = 83.20°, γ = 89.82°
Sites, in units of the cell vectors:
Zr1 0.189 0.287 0.346
Zr2 0.811 0.713 0.654
B1 0.248 0.614 0.971
B2 0.752 0.386 0.029
Mo1 0.294 0.160 0.850
Mo2 0.706 0.840 0.150

Summary:
Crystal system ... triclinic
Space-group type ... P-1, No. 2


Most stable structure - y; separation to the second - 49 meV per atom.